Ti4CuPd3: relaxed, GGA-PBE.

```
data_Ti4CuPd3
_chemical_formula_sum 'Ti4 Cu1 Pd3'
_symmetry_space_group_name_H-M 'P 1'
_symmetry_Int_Tables_number 1
_symmetry_space_group_name_Hall 'P 1'
_cell_length_a 11.091
_cell_length_b 11.091
_cell_length_c 4.304
_cell_angle_alpha 100.81
_cell_angle_beta 100.81
_cell_angle_gamma 14.55
loop_
_atom_site_label
_atom_site_type_symbol
_atom_site_fract_x
_atom_site_fract_y
_atom_site_fract_z
Ti1 Ti 0.103 0.103 0.108
Ti2 Ti 0.231 0.231 0.232
Ti3 Ti 0.769 0.769 0.768
Ti4 Ti 0.897 0.897 0.892
Cu1 Cu 0.000 0.000 0.500
Pd1 Pd 0.349 0.349 0.346
Pd2 Pd 0.500 0.500 0.000
Pd3 Pd 0.651 0.651 0.654
```

Calculated values
Density of states at the Fermi level (states/eV/cell): 7.2
Total magnetic moment (μB per atom): 0.00
V (Å³ per atom): 16.33
Calculated total energy (eV/atom): -6.554
Crystal system: monoclinic

Pr2CrSe2Br4: relaxed, GGA-PBE.

```
data_Pr2CrSe2Br4
_chemical_formula_sum 'Pr2 Cr1 Se2 Br4'
_symmetry_space_group_name_H-M 'P 1'
_symmetry_Int_Tables_number 1
_symmetry_space_group_name_Hall 'P 1'
_cell_length_a 3.965
_cell_length_b 3.965
_cell_length_c 21.935
_cell_angle_alpha 90.00
_cell_angle_beta 90.00
_cell_angle_gamma 120.00
loop_
_atom_site_label
_atom_site_type_symbol
_atom_site_fract_x
_atom_site_fract_y
_atom_site_fract_z
Pr1 Pr 0.000 0.000 0.000
Pr2 Pr 0.333 0.667 0.357
Cr1 Cr 0.333 0.667 0.685
Se1 Se 0.000 0.000 0.627
Se2 Se 0.000 0.000 0.744
Br1 Br 0.000 0.000 0.268
Br2 Br 0.000 0.000 0.446
Br3 Br 0.333 0.667 0.089
Br4 Br 0.333 0.667 0.911
```

Calculated values
Density of states at the Fermi level (states/eV/cell): 3.2
Total magnetic moment (μB per atom): 0.62
V (Å³ per atom): 33.19
Calculated total energy (eV/atom): -4.818
Crystal system: trigonal
Raw formation energy (kJ/mol of formula units): -1015

MgOF4: relaxed, GGA-PBE.

```
data_MgOF4
_chemical_formula_sum 'Mg2 O2 F8'
_symmetry_space_group_name_H-M 'P 1'
_symmetry_Int_Tables_number 1
_symmetry_space_group_name_Hall 'P 1'
_cell_length_a 5.498
_cell_length_b 5.694
_cell_length_c 6.721
_cell_angle_alpha 66.45
_cell_angle_beta 89.39
_cell_angle_gamma 61.22
loop_
_atom_site_label
_atom_site_type_symbol
_atom_site_fract_x
_atom_site_fract_y
_atom_site_fract_z
Mg1 Mg 0.171 0.173 0.002
Mg2 Mg 0.829 0.827 0.998
O1 O 0.336 0.346 0.432
O2 O 0.664 0.654 0.568
F1 F 0.005 0.375 0.201
F2 F 0.143 0.801 0.175
F3 F 0.396 0.756 0.594
F4 F 0.435 0.046 0.810
F5 F 0.565 0.954 0.190
F6 F 0.604 0.244 0.406
F7 F 0.857 0.199 0.825
F8 F 0.995 0.625 0.799
```

Calculated values
Total magnetic moment (μB per atom): 0.33
V (Å³ per atom): 13.72
Calculated total energy (eV/atom): -3.898
Crystal system: triclinic
Raw formation energy (kJ/mol of formula units): -902

TbTm2Fe: relaxed, GGA-PBE.

```
data_TbTm2Fe
_chemical_formula_sum 'Tb1 Tm2 Fe1'
_symmetry_space_group_name_H-M 'P 1'
_symmetry_Int_Tables_number 1
_symmetry_space_group_name_Hall 'P 1'
_cell_length_a 9.949
_cell_length_b 9.949
_cell_length_c 9.949
_cell_angle_alpha 20.21
_cell_angle_beta 20.21
_cell_angle_gamma 20.21
loop_
_atom_site_label
_atom_site_type_symbol
_atom_site_fract_x
_atom_site_fract_y
_atom_site_fract_z
Tb1 Tb 0.000 0.000 0.000
Tm1 Tm 0.229 0.229 0.229
Tm2 Tm 0.771 0.771 0.771
Fe1 Fe 0.500 0.500 0.500
```

Calculated values
ΔE to the lowest computed polymorph (meV/atom): 219
Density of states at the Fermi level (states/eV/cell): 4.2
Total magnetic moment (μB per atom): 0.31
V (Å³ per atom): 25.72
Calculated total energy (eV/atom): -5.324
Crystal system: trigonal

SrOsPb2: relaxed, GGA-PBE.

```
data_SrOsPb2
_chemical_formula_sum 'Sr1 Os1 Pb2'
_symmetry_space_group_name_H-M 'P 1'
_symmetry_Int_Tables_number 1
_symmetry_space_group_name_Hall 'P 1'
_cell_length_a 3.691
_cell_length_b 4.743
_cell_length_c 6.145
_cell_angle_alpha 90.00
_cell_angle_beta 100.64
_cell_angle_gamma 90.00
loop_
_atom_site_label
_atom_site_type_symbol
_atom_site_fract_x
_atom_site_fract_y
_atom_site_fract_z
Sr1 Sr 0.000 0.000 0.000
Os1 Os 0.500 0.000 0.500
Pb1 Pb 0.356 0.500 0.719
Pb2 Pb 0.644 0.500 0.281
```

Calculated values
Density of states at the Fermi level (states/eV/cell): 2.8
Total magnetic moment (μB per atom): 0.00
V (Å³ per atom): 26.43
Calculated total energy (eV/atom): -4.667
Crystal system: monoclinic

Sr15Pd5O24: relaxed, GGA-PBE.

```
data_Sr15Pd5O24
_chemical_formula_sum 'Sr15 Pd5 O24'
_symmetry_space_group_name_H-M 'P 1'
_symmetry_Int_Tables_number 1
_symmetry_space_group_name_Hall 'P 1'
_cell_length_a 9.770
_cell_length_b 9.770
_cell_length_c 9.770
_cell_angle_alpha 60.16
_cell_angle_beta 60.16
_cell_angle_gamma 60.16
loop_
_atom_site_label
_atom_site_type_symbol
_atom_site_fract_x
_atom_site_fract_y
_atom_site_fract_z
Sr1 Sr 0.000 0.000 0.000
Sr2 Sr 0.000 0.369 0.631
Sr3 Sr 0.125 0.750 0.383
Sr4 Sr 0.139 0.500 0.861
Sr5 Sr 0.250 0.875 0.617
Sr6 Sr 0.251 0.251 0.251
Sr7 Sr 0.369 0.631 0.000
Sr8 Sr 0.383 0.125 0.750
Sr9 Sr 0.500 0.861 0.139
Sr10 Sr 0.617 0.250 0.875
Sr11 Sr 0.631 0.000 0.369
Sr12 Sr 0.749 0.749 0.749
Sr13 Sr 0.750 0.383 0.125
Sr14 Sr 0.861 0.139 0.500
Sr15 Sr 0.875 0.617 0.250
Pd1 Pd 0.125 0.125 0.125
Pd2 Pd 0.376 0.376 0.376
Pd3 Pd 0.500 0.500 0.500
Pd4 Pd 0.624 0.624 0.624
Pd5 Pd 0.875 0.875 0.875
O1 O 0.008 0.798 0.666
O2 O 0.050 0.262 0.914
O3 O 0.086 0.738 0.950
O4 O 0.168 0.512 0.298
O5 O 0.202 0.992 0.334
O6 O 0.249 0.457 0.579
O7 O 0.262 0.914 0.050
O8 O 0.298 0.168 0.512
O9 O 0.334 0.202 0.992
O10 O 0.421 0.543 0.751
O11 O 0.457 0.579 0.249
O12 O 0.488 0.832 0.702
O13 O 0.512 0.298 0.168
O14 O 0.543 0.751 0.421
O15 O 0.579 0.249 0.457
O16 O 0.666 0.008 0.798
O17 O 0.702 0.488 0.832
O18 O 0.738 0.950 0.086
O19 O 0.751 0.421 0.543
O20 O 0.798 0.666 0.008
O21 O 0.832 0.702 0.488
O22 O 0.914 0.050 0.262
O23 O 0.950 0.086 0.738
O24 O 0.992 0.334 0.202
```

Calculated values
Total magnetic moment (μB per atom): 0.05
V (Å³ per atom): 15.04
Calculated total energy (eV/atom): -5.945
Crystal system: trigonal
Raw formation energy (kJ/mol of formula units): -8817

TbY2Sc3Bi6: relaxed, GGA-PBE.

```
data_TbY2Sc3Bi6
_chemical_formula_sum 'Tb1 Y2 Sc3 Bi6'
_symmetry_space_group_name_H-M 'P 1'
_symmetry_Int_Tables_number 1
_symmetry_space_group_name_Hall 'P 1'
_cell_length_a 7.587
_cell_length_b 7.587
_cell_length_c 7.573
_cell_angle_alpha 99.60
_cell_angle_beta 99.60
_cell_angle_gamma 120.02
loop_
_atom_site_label
_atom_site_type_symbol
_atom_site_fract_x
_atom_site_fract_y
_atom_site_fract_z
Tb1 Tb 0.000 0.000 0.000
Y1 Y 0.333 0.667 0.000
Y2 Y 0.667 0.333 0.000
Sc1 Sc 0.167 0.833 0.500
Sc2 Sc 0.500 0.500 0.500
Sc3 Sc 0.833 0.167 0.500
Bi1 Bi 0.088 0.422 0.265
Bi2 Bi 0.245 0.245 0.735
Bi3 Bi 0.422 0.088 0.265
Bi4 Bi 0.578 0.912 0.735
Bi5 Bi 0.755 0.755 0.265
Bi6 Bi 0.912 0.578 0.735
```

Calculated values
Density of states at the Fermi level (states/eV/cell): 2.1
Total magnetic moment (μB per atom): 0.00
V (Å³ per atom): 29.65
Calculated total energy (eV/atom): -5.758
Crystal system: monoclinic

FeP2Ir: relaxed, GGA-PBE.

```
data_FeP2Ir
_chemical_formula_sum 'Fe1 P2 Ir1'
_symmetry_space_group_name_H-M 'P 1'
_symmetry_Int_Tables_number 1
_symmetry_space_group_name_Hall 'P 1'
_cell_length_a 2.784
_cell_length_b 2.784
_cell_length_c 7.525
_cell_angle_alpha 90.00
_cell_angle_beta 90.00
_cell_angle_gamma 90.00
loop_
_atom_site_label
_atom_site_type_symbol
_atom_site_fract_x
_atom_site_fract_y
_atom_site_fract_z
Fe1 Fe 0.000 0.000 0.000
P1 P 0.000 0.000 0.453
P2 P 0.500 0.500 0.844
Ir1 Ir 0.500 0.500 0.264
```

Calculated values
ΔE to the lowest computed polymorph (meV/atom): 316
Density of states at the Fermi level (states/eV/cell): 2.2
Total magnetic moment (μB per atom): 0.00
V (Å³ per atom): 14.59
Calculated total energy (eV/atom): -7.091
Crystal system: tetragonal

Question: calculated total energy of number 1 (Ti4CuPd3)?
Answer: -6.554 eV/atom

What did the fifth record say?
SrOsPb2: relaxed, GGA-PBE.

```
data_SrOsPb2
_chemical_formula_sum 'Sr1 Os1 Pb2'
_symmetry_space_group_name_H-M 'P 1'
_symmetry_Int_Tables_number 1
_symmetry_space_group_name_Hall 'P 1'
_cell_length_a 3.691
_cell_length_b 4.743
_cell_length_c 6.145
_cell_angle_alpha 90.00
_cell_angle_beta 100.64
_cell_angle_gamma 90.00
loop_
_atom_site_label
_atom_site_type_symbol
_atom_site_fract_x
_atom_site_fract_y
_atom_site_fract_z
Sr1 Sr 0.000 0.000 0.000
Os1 Os 0.500 0.000 0.500
Pb1 Pb 0.356 0.500 0.719
Pb2 Pb 0.644 0.500 0.281
```

Calculated values
Density of states at the Fermi level (states/eV/cell): 2.8
Total magnetic moment (μB per atom): 0.00
V (Å³ per atom): 26.43
Calculated total energy (eV/atom): -4.667
Crystal system: monoclinic